Record 1
The following is a DFT calculation (PBE) of ThH2Os after structural relaxation.

Results
As for the space group: No. 166. Its total energy is -6.58 eV/atom.

abc: 4.2046 4.2046 10.8799
angles: 90.00 90.00 120.00
Last column: nearest neighbours and their distance in Å.
Fractional coordinates of all 12 atoms:
Th 0.0000 0.0000 0.0000  6 H 2.43
Th 0.3333 0.6667 0.6667  6 H 2.43
Th 0.6667 0.3333 0.3333  6 H 2.43
H 0.0000 0.0000 0.3415  1 Os 1.72
H 0.0000 0.0000 0.6585  1 Os 1.72
H 0.3333 0.6667 0.0081  1 Os 1.72
H 0.3333 0.6667 0.3252  1 Os 1.72
H 0.6667 0.3333 0.6748  1 Os 1.72
H 0.6667 0.3333 0.9919  1 Os 1.72
Os 0.0000 0.0000 0.5000  2 H 1.72
Os 0.3333 0.6667 0.1667  2 H 1.72
Os 0.6667 0.3333 0.8333  2 H 1.72

---

Record 2
The following is a DFT calculation (PBE) of Pu2Zn5Au3 after structural relaxation.

Results
As for the energy above the lowest structure with this stoichiometry: 0.0 meV per atom. As for the space group: No. 36. Its energy relative to the elements is -0.302 eV/atom.

abc: 12.8300 12.8300 6.7176
angles: 90.00 90.00 159.46
Last column: nearest neighbours and their distance in Å.
Fractional coordinates of all 20 atoms:
Pu 0.0130 0.9870 0.5000  5 Au 3.02-3.17, 6 Zn 3.12-3.33
Pu 0.3257 0.6743 0.5230  10 Zn 3.12-3.40, 5 Au 3.15-3.43
Pu 0.6743 0.3257 0.0230  10 Zn 3.12-3.40, 5 Au 3.15-3.43
Pu 0.9870 0.0130 0.0000  5 Au 3.02-3.17, 6 Zn 3.12-3.33
Zn 0.1089 0.8911 0.8100  1 Zn 2.55, 3 Au 2.68-2.78
Zn 0.2056 0.7944 0.3445  4 Au 2.60-2.70, 1 Zn 2.61
Zn 0.2077 0.7923 0.7323  2 Zn 2.55-2.61, 3 Au 2.63-2.67
Zn 0.3761 0.6239 0.9925  4 Au 2.65-2.94, 1 Zn 2.67
Zn 0.4471 0.5529 0.6977  1 Zn 2.67, 4 Au 2.68-2.76
Zn 0.5529 0.4471 0.1977  1 Zn 2.67, 4 Au 2.68-2.76
Zn 0.6239 0.3761 0.4925  4 Au 2.65-2.94, 1 Zn 2.67
Zn 0.7923 0.2077 0.2323  2 Zn 2.55-2.61, 3 Au 2.63-2.67
Zn 0.7944 0.2056 0.8445  4 Au 2.60-2.70, 1 Zn 2.61
Zn 0.8911 0.1089 0.3100  1 Zn 2.55, 3 Au 2.68-2.78
Au 0.1076 0.8924 0.2243  4 Zn 2.60-2.78
Au 0.2721 0.7279 0.0410  7 Zn 2.63-2.70
Au 0.4464 0.5536 0.2886  5 Zn 2.67-2.76
Au 0.5536 0.4464 0.7886  5 Zn 2.67-2.76
Au 0.7279 0.2721 0.5410  7 Zn 2.63-2.70
Au 0.8924 0.1076 0.7243  4 Zn 2.60-2.78

---

Record 3
The following is a DFT calculation (PBE) of HfMg2NbCo after structural relaxation.

Results
As for the space group: No. 123. Its energy relative to the elements is 1.890 eV/atom.

abc: 5.3377 5.3377 4.7975
angles: 90.00 90.00 90.00
Last column: nearest neighbours and their distance in Å.
Fractional coordinates of all 5 atoms:
Hf 0.0000 0.0000 0.0000  2 Nb 2.40, 4 Mg 2.67
Mg 0.0000 0.5000 0.0000  2 Hf 2.67
Mg 0.5000 0.0000 0.0000  2 Hf 2.67
Nb 0.0000 0.0000 0.5000  2 Hf 2.40
Co 0.5000 0.5000 0.5000  8 Mg 3.59, 4 Nb 3.77

---

Record 4
The following is a DFT calculation (PBE) of Sc2CdTe after structural relaxation.

Results
As for the uncorrected formation energy: -458 meV per atom. As for the energy above the lowest structure with this stoichiometry: 120.1 meV per atom. As for the space group: No. 71.

abc: 4.2330 5.1337 8.5685
angles: 90.00 90.00 90.00
Last column: nearest neighbours and their distance in Å.
Fractional coordinates of all 8 atoms:
Sc 0.0000 0.0000 0.2434  2 Te 2.97, 4 Cd 3.05-3.31
Sc 0.0000 0.0000 0.7566  2 Te 2.97, 4 Cd 3.05-3.31
Sc 0.5000 0.5000 0.2566  2 Te 2.97, 4 Cd 3.05-3.31
Sc 0.5000 0.5000 0.7434  2 Te 2.97, 4 Cd 3.05-3.31
Cd 0.0000 0.5000 0.0000  8 Sc 3.05-3.31, 4 Te 3.33
Cd 0.5000 0.0000 0.5000  8 Sc 3.05-3.31, 4 Te 3.33
Te 0.0000 0.5000 0.5000  4 Sc 2.97, 4 Cd 3.33
Te 0.5000 0.0000 0.0000  4 Sc 2.97, 4 Cd 3.33

---

Record 5
The following is a DFT calculation (PBE) of NaSnN2O after structural relaxation.

Results
As for the uncorrected formation energy: 451 meV per atom. As for the space group: No. 123.

abc: 4.2740 4.2740 4.1303
angles: 90.00 90.00 90.00
Last column: nearest neighbours and their distance in Å.
Fractional coordinates of all 5 atoms:
Na 0.0000 0.0000 0.0000  8 N 2.97, 4 O 3.02
Sn 0.5000 0.5000 0.5000  2 O 2.07, 4 N 2.14
N 0.0000 0.5000 0.5000  2 Sn 2.14
N 0.5000 0.0000 0.5000  2 Sn 2.14
O 0.5000 0.5000 0.0000  2 Sn 2.07

---

Record 6
The following is a DFT calculation (PBE) of Si2AgN after structural relaxation.

Results
As for the uncorrected formation energy: 276 meV per atom. As for the space group: No. 122.

abc: 5.1269 5.1269 9.4089
angles: 90.00 90.00 90.00
Last column: nearest neighbours and their distance in Å.
Fractional coordinates of all 16 atoms:
Si 0.1583 0.2500 0.1250  2 N 1.92
Si 0.2500 0.6583 0.3750  2 N 1.92
Si 0.2500 0.8417 0.8750  2 N 1.92
Si 0.3417 0.2500 0.6250  2 N 1.92
Si 0.6583 0.7500 0.6250  2 N 1.92
Si 0.7500 0.1583 0.8750  2 N 1.92
Si 0.7500 0.3417 0.3750  2 N 1.92
Si 0.8417 0.7500 0.1250  2 N 1.92
Ag 0.0000 0.0000 0.5000  4 Si 2.47
Ag 0.0000 0.5000 0.7500  4 Si 2.47
Ag 0.5000 0.0000 0.2500  4 Si 2.47
Ag 0.5000 0.5000 0.0000  4 Si 2.47
N 0.0000 0.0000 0.0000  4 Si 1.92
N 0.0000 0.5000 0.2500  4 Si 1.92
N 0.5000 0.0000 0.7500  4 Si 1.92
N 0.5000 0.5000 0.5000  4 Si 1.92

---

no.,calculated volume (Å³ per cell)
1,167
2,388
3,137
4,186
5,75
6,247